(1)
Here is a geometry-optimized SiTeO3 structure from the Alexandria database. Energies are from GGA-PBE.

Computed properties:
* electronic total energy: -4.924 eV per atom
* energy relative to the elements, uncorrected: -0.236 eV/atom
* D(E_F): 2.5 states/eV/f.u.

Lattice parameters (Å, degrees): 4.1363 4.1363 4.1363 90.00 90.00 90.00
Sites, in units of the cell vectors:
1 Si 0.0000 0.0000 0.0000
2 Te 0.5000 0.5000 0.5000
3 O 0.0000 0.5000 0.5000
4 O 0.5000 0.0000 0.5000
5 O 0.5000 0.5000 0.0000

***

(2)
Here is a geometry-optimized SiTeO2 structure from the Alexandria database. Energies are from GGA-PBE.

Computed properties:
* energy above the most stable polymorph in this dataset: 17.5 meV per atom
* electronic total energy: -6.128 eV per atom
* energy relative to the elements, uncorrected: -1.508 eV/atom
* D(E_F): 0.7 states/eV/f.u.

Lattice parameters (Å, degrees): 2.8513 2.8513 26.4371 90.00 90.00 120.00
Sites, in units of the cell vectors:
1 Si 0.0000 0.0000 0.0000
2 Si 0.3333 0.6667 0.6667
3 Si 0.6667 0.3333 0.3333
4 Te 0.0000 0.0000 0.5000
5 Te 0.3333 0.6667 0.1667
6 Te 0.6667 0.3333 0.8333
7 O 0.0000 0.0000 0.3661
8 O 0.0000 0.0000 0.6339
9 O 0.3333 0.6667 0.0328
10 O 0.3333 0.6667 0.3005
11 O 0.6667 0.3333 0.6995
12 O 0.6667 0.3333 0.9672

***

(3)
Here is a geometry-optimized Si2TeO7 structure from the Alexandria database. Energies are from GGA-PBE.

Computed properties:
* electronic total energy: -6.587 eV per atom
* energy relative to the elements, uncorrected: -1.717 eV/atom
* D(E_F): 3.4 states/eV/f.u.

Lattice parameters (Å, degrees): 9.5594 9.5594 11.1301 121.21 121.21 47.19
Sites, in units of the cell vectors:
1 Si 0.0338 0.6976 0.9210
2 Si 0.0388 0.6029 0.3154
3 Si 0.3024 0.9662 0.5790
4 Si 0.3971 0.9612 0.1846
5 Si 0.6029 0.0388 0.8154
6 Si 0.6976 0.0338 0.4210
7 Si 0.9612 0.3971 0.6846
8 Si 0.9662 0.3024 0.0790
9 Te 0.3057 0.6943 0.2500
10 Te 0.5000 0.5000 0.0000
11 Te 0.5000 0.5000 0.5000
12 Te 0.6943 0.3057 0.7500
13 O 0.0252 0.5066 0.8574
14 O 0.0558 0.7870 0.1017
15 O 0.1222 0.4966 0.4286
16 O 0.1236 0.1568 0.6539
17 O 0.1568 0.1236 0.1539
18 O 0.2130 0.9442 0.3983
19 O 0.2268 0.6346 0.8906
20 O 0.2466 0.5771 0.3236
21 O 0.3654 0.7732 0.6094
22 O 0.4229 0.7534 0.1764
23 O 0.4388 0.4386 0.1001
24 O 0.4386 0.4388 0.6001
25 O 0.4934 0.9748 0.6426
26 O 0.4966 0.1222 0.9286
27 O 0.5034 0.8778 0.0714
28 O 0.5066 0.0252 0.3574
29 O 0.5614 0.5612 0.3999
30 O 0.5612 0.5614 0.8999
31 O 0.5771 0.2466 0.8236
32 O 0.6346 0.2268 0.3906
33 O 0.7534 0.4229 0.6764
34 O 0.7732 0.3654 0.1094
35 O 0.7870 0.0558 0.6017
36 O 0.8432 0.8764 0.8461
37 O 0.8764 0.8432 0.3461
38 O 0.8778 0.5034 0.5714
39 O 0.9442 0.2130 0.8983
40 O 0.9748 0.4934 0.1426

***

(4)
Here is a geometry-optimized TlSiTeO6 structure from the Alexandria database. Energies are from GGA-PBE.

Computed properties:
* electronic total energy: -5.940 eV per atom
* energy relative to the elements, uncorrected: -1.420 eV/atom
* D(E_F): 2.7 states/eV/f.u.

Lattice parameters (Å, degrees): 5.0467 5.0467 5.3737 90.00 90.00 120.00
Sites, in units of the cell vectors:
1 Tl 0.0000 0.0000 0.0000
2 Si 0.3333 0.6667 0.5000
3 Te 0.6667 0.3333 0.5000
4 O 0.0203 0.3921 0.3056
5 O 0.0203 0.6283 0.6944
6 O 0.3717 0.3921 0.6944
7 O 0.3717 0.9797 0.3056
8 O 0.6079 0.6283 0.3056
9 O 0.6079 0.9797 0.6944

***

(5)
Here is a geometry-optimized TlSiTe2O8 structure from the Alexandria database. Energies are from GGA-PBE.

Computed properties:
* electronic total energy: -5.565 eV per atom
* energy relative to the elements, uncorrected: -1.087 eV/atom
* D(E_F): 4.6 states/eV/f.u.

Lattice parameters (Å, degrees): 4.9250 4.9250 9.4981 102.81 102.81 65.96
Sites, in units of the cell vectors:
1 Tl 0.0000 0.0000 0.0000
2 Si 0.5000 0.5000 0.5000
3 Te 0.2036 0.2036 0.6743
4 Te 0.7964 0.7964 0.3257
5 O 0.2199 0.6894 0.3555
6 O 0.2874 0.2874 0.5009
7 O 0.2959 0.2959 0.8750
8 O 0.3106 0.7801 0.6445
9 O 0.6894 0.2199 0.3555
10 O 0.7041 0.7041 0.1250
11 O 0.7126 0.7126 0.4991
12 O 0.7801 0.3106 0.6445

***

(6)
Here is a geometry-optimized ZrSiTe2O structure from the Alexandria database. Energies are from GGA-PBE.

Computed properties:
* electronic total energy: -5.160 eV per atom
* energy relative to the elements, uncorrected: -0.118 eV/atom
* D(E_F): 4.7 states/eV/f.u.

Lattice parameters (Å, degrees): 5.1863 5.1863 3.6797 90.00 90.00 90.00
Sites, in units of the cell vectors:
1 Zr 0.0000 0.0000 0.0000
2 Si 0.5000 0.5000 0.0000
3 Te 0.0000 0.5000 0.5000
4 Te 0.5000 0.0000 0.5000
5 O 0.5000 0.5000 0.5000

***

(7)
Here is a geometry-optimized ThSi2O2 structure from the Alexandria database. Energies are from GGA-PBE.

Computed properties:
* electronic total energy: -7.032 eV per atom
* energy relative to the elements, uncorrected: -1.396 eV/atom

Lattice parameters (Å, degrees): 11.1428 11.1428 11.1428 128.03 128.03 76.58
Sites, in units of the cell vectors:
1 Th 0.0000 0.0000 0.0000
2 Th 0.0000 0.0000 0.5000
3 Th 0.0000 0.5000 0.0000
4 Th 0.5000 0.0000 0.5000
5 Si 0.0635 0.1645 0.8990
6 Si 0.1645 0.0635 0.3990
7 Si 0.1645 0.7655 0.1010
8 Si 0.2345 0.8355 0.3990
9 Si 0.7655 0.1645 0.6010
10 Si 0.8355 0.2345 0.8990
11 Si 0.8355 0.9365 0.6010
12 Si 0.9365 0.8355 0.1010
13 O 0.1187 0.1735 0.5548
14 O 0.1187 0.5639 0.9452
15 O 0.1735 0.1187 0.0548
16 O 0.4361 0.8813 0.5548
17 O 0.5639 0.1187 0.4452
18 O 0.8265 0.8813 0.9452
19 O 0.8813 0.4361 0.0548
20 O 0.8813 0.8265 0.4452

***

(8)
Here is a geometry-optimized ThSiO structure from the Alexandria database. Energies are from GGA-PBE.

Computed properties:
* electronic total energy: -7.725 eV per atom
* energy relative to the elements, uncorrected: -1.792 eV/atom
* D(E_F): 1.0 states/eV/f.u.

Lattice parameters (Å, degrees): 3.4089 3.4089 8.7044 90.00 90.00 90.00
Sites, in units of the cell vectors:
1 Th 0.2500 0.2500 0.1876
2 Th 0.7500 0.7500 0.8124
3 Si 0.2500 0.2500 0.5472
4 Si 0.7500 0.7500 0.4528
5 O 0.2500 0.2500 0.9116
6 O 0.7500 0.7500 0.0884

***

(9)
Here is a geometry-optimized Ti2Si2O structure from the Alexandria database. Energies are from GGA-PBE.

Computed properties:
* energy above the most stable polymorph in this dataset: 0.0 meV per atom
* electronic total energy: -6.531 eV per atom
* energy relative to the elements, uncorrected: -0.212 eV/atom
* D(E_F): 4.1 states/eV/f.u.

Lattice parameters (Å, degrees): 6.2895 6.2895 3.6402 90.00 90.00 90.00
Sites, in units of the cell vectors:
1 Ti 0.1827 0.3173 0.0000
2 Ti 0.3173 0.8173 0.0000
3 Ti 0.6827 0.1827 0.0000
4 Ti 0.8173 0.6827 0.0000
5 Si 0.1281 0.6281 0.5000
6 Si 0.3719 0.1281 0.5000
7 Si 0.6281 0.8719 0.5000
8 Si 0.8719 0.3719 0.5000
9 O 0.0000 0.0000 0.5000
10 O 0.5000 0.5000 0.5000

***

(10)
Here is a geometry-optimized TiSi4O10 structure from the Alexandria database. Energies are from GGA-PBE.

Computed properties:
* electronic total energy: -7.949 eV per atom
* energy relative to the elements, uncorrected: -2.671 eV/atom
* D(E_F): 0.0 states/eV/f.u.

Lattice parameters (Å, degrees): 7.5463 7.5463 14.6656 90.00 90.00 90.00
Sites, in units of the cell vectors:
1 Ti 0.2500 0.2500 0.0493
2 Ti 0.2500 0.2500 0.5493
3 Ti 0.7500 0.7500 0.4507
4 Ti 0.7500 0.7500 0.9507
5 Si 0.0273 0.0538 0.3567
6 Si 0.0273 0.4462 0.8567
7 Si 0.0538 0.0273 0.8567
8 Si 0.0538 0.4727 0.3567
9 Si 0.4462 0.0273 0.3567
10 Si 0.4462 0.4727 0.8567
11 Si 0.4727 0.0538 0.8567
12 Si 0.4727 0.4462 0.3567
13 Si 0.5273 0.5538 0.6433
14 Si 0.5273 0.9462 0.1433
15 Si 0.5538 0.5273 0.1433
16 Si 0.5538 0.9727 0.6433
17 Si 0.9462 0.5273 0.6433
18 Si 0.9462 0.9727 0.1433
19 Si 0.9727 0.5538 0.1433
20 Si 0.9727 0.9462 0.6433
21 O 0.0064 0.2346 0.8799
22 O 0.0064 0.2654 0.3799
23 O 0.0150 0.5150 0.2500
24 O 0.0150 0.9850 0.7500
25 O 0.0583 0.1065 0.0804
26 O 0.0583 0.3935 0.5804
27 O 0.1065 0.0583 0.5804
28 O 0.1065 0.4417 0.0804
29 O 0.2346 0.0064 0.3799
30 O 0.2346 0.4936 0.8799
31 O 0.2654 0.0064 0.8799
32 O 0.2654 0.4936 0.3799
33 O 0.3935 0.0583 0.0804
34 O 0.3935 0.4417 0.5804
35 O 0.4417 0.1065 0.5804
36 O 0.4417 0.3935 0.0804
37 O 0.4850 0.5150 0.7500
38 O 0.4850 0.9850 0.2500
39 O 0.4936 0.2346 0.3799
40 O 0.4936 0.2654 0.8799
41 O 0.5064 0.7346 0.1201
42 O 0.5064 0.7654 0.6201
43 O 0.5150 0.0150 0.7500
44 O 0.5150 0.4850 0.2500
45 O 0.5583 0.6065 0.9196
46 O 0.5583 0.8935 0.4196
47 O 0.6065 0.5583 0.4196
48 O 0.6065 0.9417 0.9196
49 O 0.7346 0.5064 0.6201
50 O 0.7346 0.9936 0.1201
51 O 0.7654 0.5064 0.1201
52 O 0.7654 0.9936 0.6201
53 O 0.8935 0.5583 0.9196
54 O 0.8935 0.9417 0.4196
55 O 0.9417 0.6065 0.4196
56 O 0.9417 0.8935 0.9196
57 O 0.9850 0.0150 0.2500
58 O 0.9850 0.4850 0.7500
59 O 0.9936 0.7346 0.6201
60 O 0.9936 0.7654 0.1201

***

(11)
Here is a geometry-optimized TiSi2O structure from the Alexandria database. Energies are from GGA-PBE.

Computed properties:
* electronic total energy: -6.297 eV per atom
* energy relative to the elements, uncorrected: -0.372 eV/atom
* D(E_F): 2.6 states/eV/f.u.

Lattice parameters (Å, degrees): 5.7573 5.7573 6.8043 90.00 90.00 90.00
Sites, in units of the cell vectors:
1 Ti 0.0000 0.0000 0.0000
2 Ti 0.0000 0.5000 0.2500
3 Ti 0.5000 0.0000 0.7500
4 Ti 0.5000 0.5000 0.5000
5 Si 0.1633 0.2500 0.6250
6 Si 0.2500 0.6633 0.8750
7 Si 0.2500 0.8367 0.3750
8 Si 0.3367 0.2500 0.1250
9 Si 0.6633 0.7500 0.1250
10 Si 0.7500 0.1633 0.3750
11 Si 0.7500 0.3367 0.8750
12 Si 0.8367 0.7500 0.6250
13 O 0.0000 0.0000 0.5000
14 O 0.0000 0.5000 0.7500
15 O 0.5000 0.0000 0.2500
16 O 0.5000 0.5000 0.0000

***

(12)
Here is a geometry-optimized Ti2SiO structure from the Alexandria database. Energies are from GGA-PBE.

Computed properties:
* energy above the most stable polymorph in this dataset: 0.0 meV per atom
* electronic total energy: -7.801 eV per atom
* energy relative to the elements, uncorrected: -1.258 eV/atom
* D(E_F): 1.8 states/eV/f.u.

Lattice parameters (Å, degrees): 6.0308 6.0308 6.3239 90.00 90.00 90.00
Sites, in units of the cell vectors:
1 Ti 0.1579 0.2500 0.1250
2 Ti 0.2500 0.6579 0.3750
3 Ti 0.2500 0.8421 0.8750
4 Ti 0.3421 0.2500 0.6250
5 Ti 0.6579 0.7500 0.6250
6 Ti 0.7500 0.1579 0.8750
7 Ti 0.7500 0.3421 0.3750
8 Ti 0.8421 0.7500 0.1250
9 Si 0.0000 0.0000 0.5000
10 Si 0.0000 0.5000 0.7500
11 Si 0.5000 0.0000 0.2500
12 Si 0.5000 0.5000 0.0000
13 O 0.0000 0.0000 0.0000
14 O 0.0000 0.5000 0.2500
15 O 0.5000 0.0000 0.7500
16 O 0.5000 0.5000 0.5000